Here is a geometry-optimized CoSi2Ru structure from Alexandria. Energies are from PBE-GGA.

The uncorrected formation energy is -444 meV/atom.

The space group is P4mm (No. 99) and the conventional cell measures 3.0764, 3.0764 and 5.2372 Å, with angles of 90.00, 90.00 and 90.00 degrees. Symmetry generates all atoms from Co at (0.0000, 0.0000, 0.0000), Si at (0.0000, 0.0000, 0.5596), Si at (0.5000, 0.5000, 0.8461) and Ru at (0.5000, 0.5000, 0.3578).

=====

Here is a geometry-optimized BeTl2Pb structure from Alexandria. Energies are from PBE-GGA.

The value obtained for the formation energy is 438 meV per atom.

The space group is P4/mmm (No. 123) and the conventional cell measures 3.3869, 3.3869 and 8.7791 Å, with angles of 90.00, 90.00 and 90.00 degrees. Symmetry generates all atoms from Be at (0.0000, 0.0000, 0.0000), Tl at (0.5000, 0.5000, 0.1967) and Pb at (0.0000, 0.0000, 0.5000).

=====

Here is a geometry-optimized Pm3HoBi2 structure from Alexandria. Energies are from PBE-GGA.

The value obtained for the formation energy is -400 meV per atom.

The space group is Ibam (No. 72) and the conventional cell measures 7.1267, 14.8819 and 8.0261 Å, with angles of 90.00, 90.00 and 90.00 degrees. Symmetry generates all atoms from Pm at (0.0000, 0.0000, 0.2500), Pm at (0.0000, 0.2992, 0.2500), Ho at (0.0000, 0.5000, 0.0000) and Bi at (0.1649, 0.1476, 0.0000).

=====

Here is a geometry-optimized MnIrBr2 structure from Alexandria. Energies are from PBE-GGA.

The uncorrected formation energy is 1261 meV/atom.

The space group is Fm-3m (No. 225) and the conventional cell measures 6.4507, 6.4507 and 6.4507 Å, with angles of 90.00, 90.00 and 90.00 degrees. Symmetry generates all atoms from Mn at (0.0000, 0.0000, 0.0000), Ir at (0.0000, 0.0000, 0.5000) and Br at (0.2500, 0.2500, 0.2500).

=====

Here is a geometry-optimized HfTi2Co structure from Alexandria. Energies are from PBE-GGA.

The value obtained for the formation energy is 49 meV per atom.

The space group is I-42d (No. 122) and the conventional cell measures 7.1398, 7.1398 and 5.4120 Å, with angles of 90.00, 90.00 and 90.00 degrees. Symmetry generates all atoms from Hf at (0.0000, 0.0000, 0.0000), Ti at (0.1903, 0.2500, 0.6250) and Co at (0.0000, 0.0000, 0.5000).

=====

Here is a geometry-optimized Tm8MgSb6 structure from Alexandria. Energies are from PBE-GGA.

The uncorrected formation energy is -707 meV/atom.

The space group is R-3 (No. 148, hexagonal axes) and the conventional cell measures 8.9437, 8.9437 and 18.6714 Å, with angles of 90.00, 90.00 and 120.00 degrees. Symmetry generates all atoms from Tm at (0.0000, 0.0000, 0.1682), Tm at (0.0029, 0.7193, 0.5944), Mg at (0.0000, 0.0000, 0.5000) and Sb at (0.0020, 0.6278, 0.4239).

=====

Here is a geometry-optimized Li2SiSeO structure from Alexandria. Energies are from PBE-GGA.

The uncorrected formation energy is -1087 meV/atom.

The space group is P4/mmm (No. 123) and the conventional cell measures 4.0713, 4.0713 and 4.0505 Å, with angles of 90.00, 90.00 and 90.00 degrees. Symmetry generates all atoms from Li at (0.0000, 0.5000, 0.0000), Si at (0.0000, 0.0000, 0.5000), Se at (0.5000, 0.5000, 0.5000) and O at (0.0000, 0.0000, 0.0000).

=====

Here is a geometry-optimized Dy4MgAu2 structure from Alexandria. Energies are from PBE-GGA.

The value obtained for the formation energy is -353 meV per atom.

The space group is R-3m (No. 166, hexagonal axes) and the conventional cell measures 5.0154, 5.0154 and 27.1728 Å, with angles of 90.00, 90.00 and 120.00 degrees. Symmetry generates all atoms from Dy at (0.0000, 0.0000, 0.1145), Dy at (0.0000, 0.0000, 0.2941), Mg at (0.0000, 0.0000, 0.5000) and Au at (0.0000, 0.0000, 0.4015).

=====

| no. | total moment (μB/atom) | E (eV per atom) |
| --- | --- | --- |
| 1 | 0.00 | -7.25 |
| 2 | 0.00 | -2.60 |
| 3 | 0.10 | -4.83 |
| 4 | 0.18 | -4.08 |
| 5 | 0.00 | -8.16 |
| 6 | 0.00 | -4.85 |
| 7 | 0.00 | -4.63 |
| 8 | 0.00 | -4.15 |